No. 1
{
  "formula": "ZnInGa2O6",
  "functional": "GGA-PBE",
  "state": "relaxed",
  "space_group": "C2/c",
  "m_tot_mub_per_atom": 0.1064,
  "formation_energy_uncorrected_kj_per_mol_fu": -1431,
  "e_tot_ev_per_atom": -5.465,
  "dos_at_fermi_per_ev_fu": 5.42,
  "cell": [[4.876, -4.704, 0.000], [4.876, 4.704, 0.000], [-0.974, 0.000, 5.366]],
  "species": ["Zn", "Zn", "In", "In", "Ga", "Ga", "Ga", "Ga", "O", "O", "O", "O", "O", "O", "O", "O", "O", "O", "O", "O"],
  "fractional_positions": [[0.220, 0.780, 0.750], [0.780, 0.220, 0.250], [0.408, 0.592, 0.250], [0.592, 0.408, 0.750], [0.102, 0.276, 0.800], [0.276, 0.102, 0.300], [0.724, 0.898, 0.700], [0.898, 0.724, 0.200], [0.058, 0.215, 0.114], [0.125, 0.647, 0.396], [0.215, 0.058, 0.614], [0.294, 0.475, 0.869], [0.353, 0.875, 0.104], [0.475, 0.294, 0.369], [0.525, 0.706, 0.631], [0.647, 0.125, 0.896], [0.706, 0.525, 0.131], [0.785, 0.942, 0.386], [0.875, 0.353, 0.604], [0.942, 0.785, 0.886]]
}

No. 2
{
  "formula": "Zn4InGaO7",
  "functional": "GGA-PBE",
  "state": "relaxed",
  "space_group": "P6_3/mmc",
  "m_tot_mub_per_atom": 0.0000,
  "formation_energy_uncorrected_kj_per_mol_fu": -1937,
  "e_tot_ev_per_atom": -5.049,
  "cell": [[3.329, 0.000, 0.000], [-1.665, 2.883, 0.000], [0.000, 0.000, 33.373]],
  "species": ["Zn", "Zn", "Zn", "Zn", "Zn", "Zn", "Zn", "Zn", "In", "In", "Ga", "Ga", "O", "O", "O", "O", "O", "O", "O", "O", "O", "O", "O", "O", "O", "O"],
  "fractional_positions": [[0.000, 0.000, 0.171], [0.000, 0.000, 0.329], [0.000, 0.000, 0.671], [0.000, 0.000, 0.829], [0.333, 0.667, 0.093], [0.333, 0.667, 0.407], [0.667, 0.333, 0.593], [0.667, 0.333, 0.907], [0.000, 0.000, 0.000], [0.000, 0.000, 0.500], [0.333, 0.667, 0.250], [0.667, 0.333, 0.750], [0.000, 0.000, 0.111], [0.000, 0.000, 0.250], [0.000, 0.000, 0.389], [0.000, 0.000, 0.611], [0.000, 0.000, 0.750], [0.000, 0.000, 0.889], [0.333, 0.667, 0.033], [0.333, 0.667, 0.190], [0.333, 0.667, 0.310], [0.333, 0.667, 0.467], [0.667, 0.333, 0.533], [0.667, 0.333, 0.690], [0.667, 0.333, 0.810], [0.667, 0.333, 0.967]]
}

No. 3
{
  "formula": "InGaOs3",
  "functional": "GGA-PBE",
  "state": "relaxed",
  "space_group": "Pm-3m",
  "m_tot_mub_per_atom": 0.6073,
  "e_tot_ev_per_atom": -5.078,
  "dos_at_fermi_per_ev_fu": 7.67,
  "e_form_ev_per_atom": 2.8131,
  "relative_energy_mev_per_atom": 1170,
  "cell": [[4.846, 0.000, 0.000], [0.000, 4.846, 0.000], [0.000, 0.000, 4.846]],
  "species": ["In", "Ga", "Os", "Os", "Os"],
  "fractional_positions": [[0.000, 0.000, 0.000], [0.500, 0.500, 0.500], [0.000, 0.000, 0.500], [0.000, 0.500, 0.000], [0.500, 0.000, 0.000]]
}

No. 4
{
  "formula": "InGa2Os2",
  "functional": "GGA-PBE",
  "state": "relaxed",
  "space_group": "P4/mbm",
  "m_tot_mub_per_atom": 0.0000,
  "e_tot_ev_per_atom": -6.100,
  "dos_at_fermi_per_ev_fu": 2.18,
  "e_form_ev_per_atom": 0.1501,
  "relative_energy_mev_per_atom": 0,
  "cell": [[7.187, 0.000, 0.000], [0.000, 7.187, 0.000], [0.000, 0.000, 3.153]],
  "species": ["In", "In", "Ga", "Ga", "Ga", "Ga", "Os", "Os", "Os", "Os"],
  "fractional_positions": [[0.000, 0.000, 0.000], [0.500, 0.500, 0.000], [0.149, 0.351, 0.500], [0.351, 0.851, 0.500], [0.649, 0.149, 0.500], [0.851, 0.649, 0.500], [0.146, 0.646, 0.000], [0.354, 0.146, 0.000], [0.646, 0.854, 0.000], [0.854, 0.354, 0.000]]
}

Please write out number 3 again, unchanged.
{
  "formula": "InGaOs3",
  "functional": "GGA-PBE",
  "state": "relaxed",
  "space_group": "Pm-3m",
  "m_tot_mub_per_atom": 0.6073,
  "e_tot_ev_per_atom": -5.078,
  "dos_at_fermi_per_ev_fu": 7.67,
  "e_form_ev_per_atom": 2.8131,
  "relative_energy_mev_per_atom": 1170,
  "cell": [[4.846, 0.000, 0.000], [0.000, 4.846, 0.000], [0.000, 0.000, 4.846]],
  "species": ["In", "Ga", "Os", "Os", "Os"],
  "fractional_positions": [[0.000, 0.000, 0.000], [0.500, 0.500, 0.500], [0.000, 0.000, 0.500], [0.000, 0.500, 0.000], [0.500, 0.000, 0.000]]
}